VASP calculation (GGA-PBE) on a geometry-optimized YZr2Ga2 structure.

Unit cell a=8.3947 b=8.3947 c=3.0566 alpha=90.00 beta=90.00 gamma=90.00
Each line ends with the local moment (μB).
Fractional coordinates of all 10 atoms:
Y: 0.0000 0.0000 0.0000  0.23
Y: 0.5000 0.5000 0.0000  0.23
Ga: 0.1723 0.6723 0.5000  0.00
Ga: 0.6723 0.8277 0.5000  0.00
Ga: 0.8277 0.3277 0.5000  0.00
Ga: 0.3277 0.1723 0.5000  0.00
Zr: 0.3751 0.8751 0.0000  0.03
Zr: 0.8751 0.6249 0.0000  0.02
Zr: 0.6249 0.1249 0.0000  0.03
Zr: 0.1249 0.3751 0.0000  0.02

Properties
Offset from the most stable computed form (meV per atom): 168
VASP energy (eV per atom): -6.2299
ΔH_f (0 K) (eV per atom): -0.307

***

VASP calculation (GGA-PBE) on a geometry-optimized BaTa3Cd structure.

Unit cell a=5.2133 b=5.2133 c=5.2133 alpha=90.00 beta=90.00 gamma=90.00
Each line ends with the local moment (μB).
Fractional coordinates of all 5 atoms:
Cd: 0.0000 0.0000 0.0000  0.07
Ba: 0.5000 0.5000 0.5000  0.11
Ta: 0.0000 0.5000 0.0000  0.54
Ta: 0.0000 0.0000 0.5000  0.69
Ta: 0.5000 0.0000 0.0000  0.60

Properties
Offset from the most stable computed form (meV per atom): 0
VASP energy (eV per atom): -5.6283
ΔH_f (0 K) (eV per atom): 2.051

***

VASP calculation (GGA-PBE) on a geometry-optimized PrP2N4 structure.

Unit cell a=6.4711 b=5.9430 c=5.8469 alpha=81.40 beta=53.61 gamma=69.17
Fractional coordinates of all 14 atoms:
Pr: 0.7487 0.5310 0.4548
Pr: 0.9862 0.9773 0.0426
P: 0.4300 0.6785 0.1829
P: 0.3309 0.3054 0.8153
P: 0.8284 0.9058 0.6978
P: 0.3535 0.1830 0.3342
N: 0.1777 0.2397 0.6849
N: 0.6606 0.1427 0.5976
N: 0.0926 0.7497 0.3716
N: 0.5475 0.3726 0.1849
N: 0.2664 0.5843 0.8193
N: 0.5063 0.8742 0.3072
N: 0.2096 0.2157 0.1580
N: 0.6117 0.7402 0.8489

Properties
Formation energy (no corrections) (eV per atom): -0.559
VASP energy (eV per atom): -7.5449

***

VASP calculation (GGA-PBE) on a geometry-optimized Y2ZrRe structure.

Unit cell a=6.2277 b=6.2277 c=6.2277 alpha=146.82 beta=133.85 gamma=58.01
Fractional coordinates of all 4 atoms:
Re: 0.2500 0.7500 0.5000
Y: 0.0429 0.0429 0.0000
Y: 0.4571 0.4571 0.0000
Zr: 0.7500 0.2500 0.5000

Properties
Offset from the most stable computed form (meV per atom): 129
VASP energy (eV per atom): -8.3204
ΔH_f (0 K) (eV per atom): 0.161

***

VASP calculation (GGA-PBE) on a geometry-optimized DyHoZnTc structure.

Unit cell a=4.9131 b=4.9131 c=4.9131 alpha=60.00 beta=60.00 gamma=60.00
Fractional coordinates of all 4 atoms:
Tc: 0.5000 0.5000 0.5000
Zn: 0.0000 0.0000 0.0000
Ho: 0.7500 0.7500 0.7500
Dy: 0.2500 0.2500 0.2500

Properties
VASP energy (eV per atom): -5.3619
ΔH_f (0 K) (eV per atom): -0.157

***

VASP calculation (GGA-PBE) on a geometry-optimized BaAs3Pt structure.

Unit cell a=5.6513 b=5.6513 c=5.6513 alpha=90.00 beta=90.00 gamma=90.00
Fractional coordinates of all 5 atoms:
As: 0.0000 0.5000 0.0000
As: 0.0000 0.0000 0.5000
As: 0.5000 0.0000 0.0000
Ba: 0.0000 0.0000 0.0000
Pt: 0.5000 0.5000 0.5000

Properties
Offset from the most stable computed form (meV per atom): 1959
VASP energy (eV per atom): -2.6129
ΔH_f (0 K) (eV per atom): 1.770

***

VASP calculation (GGA-PBE) on a geometry-optimized LaPd2Pt2 structure.

Unit cell a=7.4137 b=7.4137 c=3.4253 alpha=90.00 beta=90.00 gamma=90.00
Fractional coordinates of all 10 atoms:
Pd: 0.3684 0.8684 0.0000
Pd: 0.8684 0.6316 0.0000
Pd: 0.6316 0.1316 0.0000
Pd: 0.1316 0.3684 0.0000
Pt: 0.1651 0.6651 0.5000
Pt: 0.6651 0.8349 0.5000
Pt: 0.8349 0.3349 0.5000
Pt: 0.3349 0.1651 0.5000
La: 0.0000 0.0000 0.0000
La: 0.5000 0.5000 0.0000

Properties
Offset from the most stable computed form (meV per atom): 93
VASP energy (eV per atom): -5.9878
ΔH_f (0 K) (eV per atom): -0.509

***

VASP calculation (GGA-PBE) on a geometry-optimized La12Tm5Pu structure.

Unit cell a=10.8352 b=10.9479 c=6.3388 alpha=73.18 beta=89.99 gamma=60.34
Each line ends with the local moment (μB).
Fractional coordinates of all 18 atoms:
La: 0.8343 0.0001 0.4996  0.04
La: 0.1657 0.9999 0.5004  0.04
La: 0.6740 0.0001 0.9998  0.00
La: 0.3261 0.9999 0.0002  0.00
La: 0.3307 0.6716 0.9992  0.01
La: 0.9981 0.6717 0.9987  0.01
La: 0.0020 0.3283 0.0013  0.01
La: 0.6693 0.3284 0.0008  0.01
La: 0.5016 0.3344 0.4976  -0.02
La: 0.8362 0.6656 0.5019  -0.02
La: 0.1638 0.3344 0.4981  -0.02
La: 0.4984 0.6657 0.5024  -0.02
Tm: 0.5000 0.0000 0.5000  -0.10
Tm: 0.1659 0.6685 0.4965  0.05
Tm: 0.8341 0.3315 0.5035  0.05
Tm: 0.6670 0.6661 0.0031  -0.06
Tm: 0.3330 0.3339 0.9969  -0.06
Pu: 0.0000 0.0000 0.0000  5.60

Properties
VASP energy (eV per atom): -5.2834
ΔH_f (0 K) (eV per atom): 0.040

***

VASP calculation (GGA-PBE) on a geometry-optimized AcTbSm4Tm2 structure.

Unit cell a=5.1320 b=6.2857 c=9.6219 alpha=89.78 beta=74.53 gamma=65.91
Fractional coordinates of all 8 atoms:
Ac: 0.5000 0.5000 0.5000
Tb: 0.0000 0.0000 0.0000
Sm: 0.1218 0.1254 0.6309
Sm: 0.3726 0.3760 0.8789
Sm: 0.8782 0.8746 0.3691
Sm: 0.6274 0.6240 0.1211
Tm: 0.7423 0.7584 0.7569
Tm: 0.2577 0.2416 0.2431

Properties
VASP energy (eV per atom): -4.5296
ΔH_f (0 K) (eV per atom): 0.040

***

VASP calculation (GGA-PBE) on a geometry-optimized Mg4HgPd2 structure.

Unit cell a=4.6190 b=4.6190 c=7.7004 alpha=72.55 beta=72.55 gamma=60.00
Fractional coordinates of all 7 atoms:
Mg: 0.8666 0.8666 0.4003
Mg: 0.1334 0.1334 0.5997
Mg: 0.6088 0.6088 0.1735
Mg: 0.3912 0.3912 0.8265
Hg: 0.0000 0.0000 0.0000
Pd: 0.7420 0.7420 0.7739
Pd: 0.2580 0.2580 0.2261

Properties
VASP energy (eV per atom): -2.9005
ΔH_f (0 K) (eV per atom): -0.463

***

VASP calculation (GGA-PBE) on a geometry-optimized PmCu4Pt structure.

Unit cell a=5.0462 b=5.0462 c=5.0462 alpha=60.00 beta=60.00 gamma=60.00
Fractional coordinates of all 6 atoms:
Cu: 0.6261 0.6261 0.1217
Cu: 0.6261 0.1217 0.6261
Cu: 0.6261 0.6261 0.6261
Cu: 0.1217 0.6261 0.6261
Pt: 0.0000 0.0000 0.0000
Pm: 0.2500 0.2500 0.2500

Properties
VASP energy (eV per atom): -4.8834
ΔH_f (0 K) (eV per atom): -0.354

***

VASP calculation (GGA-PBE) on a geometry-optimized Pm4Sm2Dy5 structure.

Unit cell a=6.9042 b=6.9861 c=9.4708 alpha=77.95 beta=68.62 gamma=60.39
Fractional coordinates of all 11 atoms:
Pm: 0.3153 0.8697 0.4998
Pm: 0.6847 0.1303 0.5002
Pm: 0.7187 0.7192 0.8433
Pm: 0.2813 0.2808 0.1567
Sm: 0.2578 0.6403 0.8441
Sm: 0.7422 0.3597 0.1559
Dy: 0.2334 0.1708 0.8280
Dy: 0.7666 0.8292 0.1720
Dy: 0.0000 0.5000 0.5000
Dy: 0.7677 0.1708 0.8280
Dy: 0.2323 0.8292 0.1720

Properties
Offset from the most stable computed form (meV per atom): 51
VASP energy (eV per atom): -4.5217
ΔH_f (0 K) (eV per atom): 0.156